Computed, not measured: a relaxed KTaBe3 crystal at the PBE level of DFT.

a b c (Å): 4.246 4.246 4.246
angles (deg): 90.00 90.00 90.00
Space group Pm-3m (No. 221)
Unique sites:
K  0.000  0.000  0.000 x1
Ta  0.500  0.500  0.500 x1
Be  0.000  0.000  0.500 x3

- N(E_F): 1.313 states/eV/f.u.
- ΔE_f: 53.563 kcal/mol of atoms
- E: -2.50 eV per atom
- Polymorph energy (0 for the lowest one): 904 meV/atom

Computed, not measured: a relaxed LiHg3Pd12 crystal at the PBE level of DFT.

a b c (Å): 4.025 4.025 15.959
angles (deg): 90.00 90.00 90.00
Space group P4/mmm (No. 123)
Unique sites:
Li  0.000  0.000  0.000 x1
Hg  0.000  0.000  0.244 x2
Hg  0.000  0.000  0.500 x1
Pd  0.000  0.500  0.115 x4
Pd  0.000  0.500  0.372 x4
Pd  0.500  0.500  0.000 x1
Pd  0.500  0.500  0.242 x2
Pd  0.500  0.500  0.500 x1

- N(E_F): 23.499 states/eV/f.u.
- ΔE_f: -2.999 kcal/mol of atoms
- E: -4.20 eV per atom

Computed, not measured: a relaxed LaErCd crystal at the PBE level of DFT.

a b c (Å): 5.3163 5.3163 3.7739
angles (deg): 90.00 90.00 120.00
Space group P3m1 (No. 156)
Unique sites:
La  0.0000  0.0000  0.0000 x1
Er  0.3333  0.6667  0.4812 x1
Cd  0.6667  0.3333  0.5371 x1

- N(E_F): 5.183 states/eV/f.u.
- ΔE_f: -1.956 kcal/mol of atoms
- E: -3.55 eV per atom
- Polymorph energy (0 for the lowest one): 106 meV/atom

Computed, not measured: a relaxed MgAsPb2 crystal at the PBE level of DFT.

a b c (Å): 7.056 8.899 3.316
angles (deg): 90.00 90.00 90.00
Space group Cmmm (No. 65)
Unique sites:
Mg  0.000  0.000  0.000 x2
As  0.000  0.500  0.000 x2
Pb  0.250  0.250  0.500 x4

- N(E_F): 1.854 states/eV/f.u.
- ΔE_f: 1.586 kcal/mol of atoms
- E: -3.35 eV per atom
- Polymorph energy (0 for the lowest one): 178 meV/atom